YCr2Co: relaxed, PBE-GGA. Values from VASP.

Energy above the most stable polymorph in this dataset (eV per atom): 0.532

The structure in Quantum ESPRESSO input format:
```
&SYSTEM
  ibrav = 0, nat = 4, ntyp = 3
/
ATOMIC_SPECIES
Y 88.91 Y.upf
Cr 52.00 Cr.upf
Co 58.93 Co.upf
ATOMIC_POSITIONS angstrom
Y 0.000 0.000 0.000
Cr 0.000 0.000 6.064
Cr 0.000 0.000 19.727
Co 0.000 0.000 12.895
CELL_PARAMETERS angstrom
1.518 0.877 8.597
-1.518 0.877 8.597
0.000 -1.753 8.597
```